Record 1
Entry from OQMD via LeMat-Bulk: crystalline Ga2GeMo2 at its relaxed geometry (PBE-GGA).

Symmetry: I4/mmm

a = 3.4651 Å, b = 3.4651 Å, c = 7.2415 Å
α = 103.84°, β = 103.84°, γ = 90.00°
With the nearest neighbours (Å) after each atom.
Fractional coordinates of all 5 atoms:
Ga: 0.7500 0.2500 0.5000  4 Ga 2.45
Ga: 0.2500 0.7500 0.5000  4 Ga 2.45
Mo: 0.4062 0.4062 0.8124  1 Mo 2.56, 4 Ga 2.74, 4 Ge 2.76
Mo: 0.5938 0.5938 0.1876  1 Mo 2.56, 4 Ga 2.74, 4 Ge 2.76
Ge: 0.0000 0.0000 0.0000  8 Mo 2.76



Record 2
Entry from OQMD via LeMat-Bulk: crystalline Ga2GeMo2 at its relaxed geometry (PBE-GGA).

Symmetry: I4/mmm

a = 6.6506 Å, b = 6.6506 Å, c = 6.6506 Å
α = 147.04°, β = 147.04°, γ = 47.30°
With the nearest neighbours (Å) after each atom.
Fractional coordinates of all 5 atoms:
Ge: 0.0000 0.0000 0.0000  8 Ga 2.92
Ga: 0.5975 0.5975 0.0000  1 Ga 2.38, 4 Mo 2.65
Ga: 0.4025 0.4025 0.0000  1 Ga 2.38, 4 Mo 2.65
Mo: 0.2500 0.7500 0.5000  4 Ga 2.65, 4 Mo 2.67
Mo: 0.7500 0.2500 0.5000  4 Ga 2.65, 4 Mo 2.67



no.,ΔE to the lowest computed polymorph (meV/atom),theoretical density (Mg/m³)
1,0,8.20
2,232,7.73